# ErZr5Ru6 | the Alexandria database | PBE | relaxed
# ΔH_f (0 K) (eV per atom): -0.6206
# Electronic total energy (eV/f.u.): -110.41
# Fermi-level density of states (states/eV/f.u.): 4.449
data_ErZr5Ru6
_chemical_formula_sum 'Er2 Zr10 Ru12'
_symmetry_space_group_name_H-M 'C m m m'
_symmetry_Int_Tables_number 65
_symmetry_space_group_name_Hall '-C 2 2'
_cell_length_a 4.649
_cell_length_b 13.987
_cell_length_c 6.582
_cell_angle_alpha 90.00
_cell_angle_beta 90.00
_cell_angle_gamma 90.00
loop_
_atom_site_label
_atom_site_type_symbol
_atom_site_fract_x
_atom_site_fract_y
_atom_site_fract_z
_atom_site_occupancy
Er1 Er 0.000 0.000 0.000 1
Zr1 Zr 0.000 0.000 0.500 1
Zr2 Zr 0.000 0.333 0.000 1
Zr3 Zr 0.000 0.333 0.500 1
Ru1 Ru 0.000 0.169 0.253 1
Ru2 Ru 0.000 0.500 0.256 1



# MoPdRh | the Alexandria database | PBE | relaxed
# ΔH_f (0 K) (eV per atom): -0.1131
# Electronic total energy (eV/f.u.): -23.71
# Fermi-level density of states (states/eV/f.u.): 3.623
data_MoPdRh
_chemical_formula_sum 'Mo2 Pd2 Rh2'
_symmetry_space_group_name_H-M 'I 4 m m'
_symmetry_Int_Tables_number 107
_symmetry_space_group_name_Hall 'I 4 -2'
_cell_length_a 2.761
_cell_length_b 2.761
_cell_length_c 11.825
_cell_angle_alpha 90.00
_cell_angle_beta 90.00
_cell_angle_gamma 90.00
loop_
_atom_site_label
_atom_site_type_symbol
_atom_site_fract_x
_atom_site_fract_y
_atom_site_fract_z
_atom_site_occupancy
Mo1 Mo 0.000 0.000 0.000 1
Pd1 Pd 0.000 0.000 0.332 1
Rh1 Rh 0.000 0.000 0.656 1



Q: Number 2 is which compound?
A: MoPdRh



What did the first record say?
# ErZr5Ru6 | the Alexandria database | PBE | relaxed
# ΔH_f (0 K) (eV per atom): -0.6206
# Electronic total energy (eV/f.u.): -110.41
# Fermi-level density of states (states/eV/f.u.): 4.449
data_ErZr5Ru6
_chemical_formula_sum 'Er2 Zr10 Ru12'
_symmetry_space_group_name_H-M 'C m m m'
_symmetry_Int_Tables_number 65
_symmetry_space_group_name_Hall '-C 2 2'
_cell_length_a 4.649
_cell_length_b 13.987
_cell_length_c 6.582
_cell_angle_alpha 90.00
_cell_angle_beta 90.00
_cell_angle_gamma 90.00
loop_
_atom_site_label
_atom_site_type_symbol
_atom_site_fract_x
_atom_site_fract_y
_atom_site_fract_z
_atom_site_occupancy
Er1 Er 0.000 0.000 0.000 1
Zr1 Zr 0.000 0.000 0.500 1
Zr2 Zr 0.000 0.333 0.000 1
Zr3 Zr 0.000 0.333 0.500 1
Ru1 Ru 0.000 0.169 0.253 1
Ru2 Ru 0.000 0.500 0.256 1